# 1
Pr5ZnGe2 | PBE-GGA | relaxed

Lattice parameters (Å, degrees): 5.2871 10.1938 17.0607 90.00 90.00 90.00
With the nearest neighbours (Å) after each atom.
Space group Cmcm (No. 63)
Symmetry-distinct sites (fractional):
1 Pr 0.0000 0.0933 0.1027  4 Ge 3.14-3.50, 3 Pr 3.17-3.30
2 Pr 0.0000 0.2221 0.7500  2 Ge 3.02, 3 Zn 3.06-3.34
3 Pr 0.0000 0.4025 0.0826  1 Zn 2.96, 3 Ge 3.05-3.10, 3 Pr 3.17-3.30
4 Zn 0.0000 0.4778 0.2500  3 Pr 2.96-3.06
5 Ge 0.0000 0.2469 0.5736  6 Pr 3.02-3.14

## Properties
DFT formation energy: -0.38 eV per atom
calculated total energy: -0.344 Ry per atom

# 2
Li3Zr3PdS8 | PBE-GGA | relaxed

Lattice parameters (Å, degrees): 12.5829 7.3072 7.4743 90.00 124.29 90.00
With the nearest neighbours (Å) after each atom.
Space group C2/m (No. 12)
Symmetry-distinct sites (fractional):
1 Li 0.0000 0.0000 0.0000  6 S 2.60-2.65
2 Li 0.2500 0.2500 0.0000  6 S 2.62-2.64
3 Zr 0.0000 0.5000 0.5000  6 S 2.58-2.60
4 Zr 0.2500 0.2500 0.5000  6 S 2.57-2.61
5 Pd 0.0000 0.0000 0.5000  6 S 2.50-2.60
6 S 0.0028 0.2513 0.2573  2 Zr 2.57-2.58, 1 Pd 2.60, 2 Li 2.63-2.65
7 S 0.2408 0.0000 0.7368  1 Pd 2.50, 2 Zr 2.59, 2 Li 2.64
8 S 0.2498 0.0000 0.2507  3 Li 2.60-2.62, 3 Zr 2.60-2.61

## Properties
raw formation energy: -19.2 eV/f.u.
calculated total energy: -0.435 Ry per atom

# 3
Pr2UTl3Se6 | PBE-GGA | relaxed

Lattice parameters (Å, degrees): 7.4684 12.9218 8.1549 90.00 107.76 90.00
With the nearest neighbours (Å) after each atom.
Space group C2/m (No. 12)
Symmetry-distinct sites (fractional):
1 Pr 0.0000 0.1666 0.0000  6 Se 3.00-3.01
2 U 0.0000 0.5000 0.0000  6 Se 2.91-2.92
3 Tl 0.0000 0.0000 0.5000  6 Se 3.33-3.40
4 Tl 0.0000 0.3318 0.5000  6 Se 3.33-3.40
5 Se 0.2317 0.3382 0.2096  1 U 2.91, 2 Pr 3.00
6 Se 0.2469 0.0000 0.2115  1 U 2.92, 2 Pr 3.01

## Properties
raw formation energy: -14.3 eV/f.u.
calculated total energy: -0.387 Ry per atom

# 4
Tb2Ho3Tm5 | PBE-GGA | relaxed

Lattice parameters (Å, degrees): 12.6296 16.7920 6.1824 90.00 90.00 90.00
With the nearest neighbours (Å) after each atom.
Space group Ibam (No. 72)
Symmetry-distinct sites (fractional):
1 Tb 0.1017 0.1565 0.0000  1 Tm 3.15, 3 Ho 3.31-3.41
2 Ho 0.0000 0.0000 0.2500  2 Ho 3.09, 2 Tm 3.18, 4 Tb 3.31
3 Ho 0.1591 0.2488 0.5000  4 Tb 3.41-3.64, 4 Tm 3.44-3.62
4 Tm 0.0000 0.5000 0.2500  8 Tm 3.09-3.29
5 Tm 0.0981 0.3439 0.0000  1 Tb 3.15, 2 Tm 3.29, 1 Ho 3.44
6 Tm 0.2483 0.5000 0.2500  3 Tm 3.09-3.14, 1 Ho 3.18

## Properties
offset from the most stable computed form: 1.56 eV per formula unit
DFT formation energy: 0.36 eV per atom
calculated total energy: -0.307 Ry per atom

# 5
Tl2Cu2IrO6 | PBE-GGA | relaxed

Lattice parameters (Å, degrees): 5.8668 5.8668 16.0932 90.00 90.00 120.00
With the nearest neighbours (Å) after each atom.
Space group R-3m (No. 166, hexagonal axes)
Symmetry-distinct sites (fractional):
1 Tl 0.0000 0.0000 0.2133  9 O 2.74-3.03, 1 Cu 2.88
2 Cu 0.0000 0.0000 0.3925  3 O 1.86
3 Ir 0.0000 0.0000 0.0000  6 O 1.94
4 O 0.0301 0.5151 0.7395  1 Cu 1.86, 1 Ir 1.94

## Properties
raw formation energy: -6.8 eV/f.u.
calculated total energy: -0.390 Ry per atom

# 6
Ni2GeOs | PBE-GGA | relaxed

Lattice parameters (Å, degrees): 3.5890 3.5890 17.3247 90.00 90.00 90.00
With the nearest neighbours (Å) after each atom.
Space group I-42d (No. 122)
Symmetry-distinct sites (fractional):
1 Ni 0.2483 0.2500 0.1250  2 Ge 2.51, 2 Os 2.51, 4 Ni 2.53-2.55
2 Ge 0.0000 0.0000 0.0000  4 Ni 2.51, 4 Os 2.54
3 Os 0.0000 0.0000 0.5000  4 Ni 2.51, 4 Ge 2.54

## Properties
DFT formation energy: 0.46 eV per atom
calculated total energy: -0.470 Ry per atom

# 7
TaAgPt2 | PBE-GGA | relaxed

Lattice parameters (Å, degrees): 9.6065 2.8408 4.9170 90.00 99.95 90.00
With the nearest neighbours (Å) after each atom.
Space group Cm (No. 8)
Symmetry-distinct sites (fractional):
1 Ta 0.0000 0.0000 0.0000  7 Pt 2.77-2.87, 2 Ta 2.84, 3 Ag 2.91-3.01
2 Ag 0.2397 0.0000 0.7101  7 Pt 2.77-2.87, 2 Ag 2.84, 3 Ta 2.91-3.01
3 Pt 0.2439 0.5000 0.2042  3 Ta 2.77-2.81, 4 Ag 2.81-2.87, 5 Pt 2.84-3.05
4 Pt 0.4859 0.0000 0.4894  3 Ag 2.77-2.87, 4 Ta 2.82-2.87, 5 Pt 2.84-3.05

## Properties
DFT formation energy: -0.31 eV per atom
calculated total energy: -0.515 Ry per atom

# 8
NaLiLa | PBE-GGA | relaxed

Lattice parameters (Å, degrees): 3.6826 3.6826 13.7885 90.00 90.00 90.00
With the nearest neighbours (Å) after each atom.
Space group P4/nmm (No. 129, origin choice 2)
Symmetry-distinct sites (fractional):
1 Na 0.2500 0.2500 0.0942  4 Li 3.28
2 Li 0.2500 0.2500 0.7611  4 Na 3.28, 4 La 3.49
3 La 0.2500 0.2500 0.4070  4 Li 3.49, 8 La 3.66-3.68

## Properties
offset from the most stable computed form: 0.00 eV per formula unit
DFT formation energy: 0.06 eV per atom
calculated total energy: -0.195 Ry per atom

# 9
Mg5CdRh | PBE-GGA | relaxed

Lattice parameters (Å, degrees): 8.0137 8.2062 10.1552 90.00 109.97 90.00
With the nearest neighbours (Å) after each atom.
Space group C2/c (No. 15)
Symmetry-distinct sites (fractional):
1 Mg 0.0000 0.1234 0.2500  1 Cd 2.72, 2 Rh 2.73, 2 Mg 2.99
2 Mg 0.0901 0.3172 0.0336  1 Rh 2.69, 1 Cd 2.86, 1 Mg 2.99
3 Mg 0.1904 0.4561 0.3341  1 Rh 2.50
4 Cd 0.0000 0.2083 0.7500  3 Mg 2.72-2.86
5 Rh 0.0000 0.0000 0.0000  6 Mg 2.50-2.73

## Properties
offset from the most stable computed form: 1.13 eV per formula unit
DFT formation energy: -0.04 eV per atom
calculated total energy: -0.174 Ry per atom

# 10
In2SiAs | PBE-GGA | relaxed

Lattice parameters (Å, degrees): 10.1670 3.8149 4.8010 90.00 107.41 90.00
With the nearest neighbours (Å) after each atom.
Space group C2/m (No. 12)
Symmetry-distinct sites (fractional):
1 In 0.2473 0.0000 0.2504  4 In 3.05-3.08, 3 Si 3.09-3.14, 3 As 3.10-3.15
2 Si 0.0000 0.0000 0.5000  4 As 3.07, 6 In 3.09-3.14
3 As 0.0000 0.5000 0.0000  4 Si 3.07, 6 In 3.10-3.15

## Properties
offset from the most stable computed form: 0.88 eV per formula unit
raw formation energy: 1.4 eV/f.u.
calculated total energy: -0.260 Ry per atom

# 11
Ce3PS3 | PBE-GGA | relaxed

Lattice parameters (Å, degrees): 5.6739 5.6739 5.6739 90.00 90.00 90.00
With the nearest neighbours (Å) after each atom.
Space group Pm-3m (No. 221)
Symmetry-distinct sites (fractional):
1 Ce 0.0000 0.0000 0.5000  4 S 2.84, 2 P 2.84
2 P 0.0000 0.0000 0.0000  6 Ce 2.84
3 S 0.0000 0.5000 0.5000  4 Ce 2.84

## Properties
offset from the most stable computed form: 0.00 eV per formula unit
raw formation energy: -12.2 eV/f.u.
calculated total energy: -0.502 Ry per atom

# 12
La4HCBr2 | PBE-GGA | relaxed

Lattice parameters (Å, degrees): 6.7133 3.8996 7.8379 90.00 105.09 90.00
With the nearest neighbours (Å) after each atom.
Space group P2/m (No. 10)
Symmetry-distinct sites (fractional):
1 La 0.2251 0.0000 0.1824  1 H 2.61, 2 C 2.65
2 La 0.2498 0.5000 0.8059  1 C 2.54, 2 H 2.76
3 H 0.5000 0.0000 0.0000  6 La 2.61-2.76
4 C 0.0000 0.5000 0.0000  6 La 2.54-2.65
5 Br 0.0000 0.0000 0.5000  6 La 3.20-3.23
6 Br 0.5000 0.5000 0.5000  6 La 3.27-3.32

## Properties
calculated total energy: -0.390 Ry per atom

no.,total magnetization (μB per formula unit),D(E_F) (states/eV/cell)
1,0.0,24.04
2,0.0,15.60
3,3.0,21.60
4,0.0,61.50
5,0.0,14.41
6,1.1,22.81
7,0.0,5.05
8,0.0,6.29
9,0.0,11.70
10,0.0,2.95
11,2.3,16.27
12,0.0,4.41